1.
LiMg8Ag6 (PBE, optimized geometry); N(E_F) = 0.408 states/eV per atom; uncorrected energy = -2.259 eV/atom; crystal system = trigonal; ΔH_f (0 K) = -141 meV/atom; magnetic moment = 0.0 μB per formula unit
1.0
8.037 0.000 0.000
4.018 6.960 0.000
4.018 2.320 5.633
Mg Ag Li
8 6 1
direct
0.117 0.450 0.648
0.883 0.550 0.352
0.215 0.883 0.352
0.333 0.333 0.000
0.785 0.117 0.648
0.450 0.785 0.648
0.550 0.215 0.352
0.667 0.667 0.000
0.951 0.280 0.147
0.622 0.951 0.147
0.720 0.378 0.853
0.378 0.049 0.853
0.049 0.720 0.853
0.280 0.622 0.147
0.000 0.000 0.000



2.
LaMg2Mo (PBE, optimized geometry); N(E_F) = 1.018 states/eV per atom; uncorrected energy = -4.409 eV/atom; crystal system = monoclinic; ΔH_f (0 K) = 328 meV/atom; magnetic moment = 0.0 μB per formula unit
1.0
5.236 0.000 0.000
0.000 3.118 -0.029
0.000 1.573 5.464
Mo Mg La
1 2 1
direct
0.500 0.250 0.250
0.000 0.081 0.031
0.000 0.419 0.469
0.500 0.750 0.750



Copy entry 1 word for word.
LiMg8Ag6 (PBE, optimized geometry); N(E_F) = 0.408 states/eV per atom; uncorrected energy = -2.259 eV/atom; crystal system = trigonal; ΔH_f (0 K) = -141 meV/atom; magnetic moment = 0.0 μB per formula unit
1.0
8.037 0.000 0.000
4.018 6.960 0.000
4.018 2.320 5.633
Mg Ag Li
8 6 1
direct
0.117 0.450 0.648
0.883 0.550 0.352
0.215 0.883 0.352
0.333 0.333 0.000
0.785 0.117 0.648
0.450 0.785 0.648
0.550 0.215 0.352
0.667 0.667 0.000
0.951 0.280 0.147
0.622 0.951 0.147
0.720 0.378 0.853
0.378 0.049 0.853
0.049 0.720 0.853
0.280 0.622 0.147
0.000 0.000 0.000